(1)
Crystalline Er2ScTl at its relaxed geometry, computed with PBE.

Properties
* E_tot: -18.44 eV for the cell shown
* polymorph energy (0 for the lowest one): 0.08 eV per formula unit
* energy relative to the elements: -0.155 eV per atom
* magnetization: 0.000 μB per atom
* symmetry: No. 123

a b c (Å): 3.5860 3.5860 8.5415
angles (deg): 90.00 90.00 90.00
Closest atoms and distances in Å follow each position.
Element x y z (fractional)
Er1 0.0000 0.0000 0.2433  4 Tl 3.28, 4 Sc 3.35, 4 Er 3.59
Er2 0.0000 0.0000 0.7567  4 Tl 3.28, 4 Sc 3.35, 4 Er 3.59
Sc1 0.5000 0.5000 0.5000  8 Er 3.35, 4 Sc 3.59
Tl1 0.5000 0.5000 0.0000  8 Er 3.28, 4 Tl 3.59

(2)
Crystalline Cd2IrS2 at its relaxed geometry, computed with PBE.

Properties
* E_tot: -17.28 eV for the cell shown
* polymorph energy (0 for the lowest one): 0.00 eV per formula unit
* magnetization: 0.000 μB per atom
* symmetry: No. 139
* formation energy without anion corrections: 0.333 eV per atom

a b c (Å): 9.0318 9.0318 9.0318
angles (deg): 158.63 158.63 30.41
Closest atoms and distances in Å follow each position.
Element x y z (fractional)
Cd1 0.0888 0.0888 0.0000  4 Ir 2.83, 1 Cd 3.09
Cd2 0.9112 0.9112 0.0000  4 Ir 2.83, 1 Cd 3.09
Ir1 0.5000 0.5000 0.0000  8 Cd 2.83
S1 0.2500 0.7500 0.5000  4 S 2.37
S2 0.7500 0.2500 0.5000  4 S 2.37

(3)
Crystalline MgAl4Tl4O12 at its relaxed geometry, computed with PBE.

Properties
* E_tot: -123.48 eV for the cell shown
* polymorph energy (0 for the lowest one): 0.31 eV per formula unit
* magnetization: 0.000 μB per atom
* symmetry: No. 1
* formation energy without anion corrections: -1.807 eV per atom

a b c (Å): 5.7597 5.9305 8.4173
angles (deg): 85.01 81.68 84.40
Closest atoms and distances in Å follow each position.
Element x y z (fractional)
Mg1 0.0000 0.0000 0.0000  4 O 1.98-2.11
Al1 0.2885 0.6749 0.7390  4 O 1.78-1.86
Al2 0.3212 0.8268 0.3218  4 O 1.79-1.89
Al3 0.5189 0.1644 0.7690  4 O 1.77-1.87
Al4 0.6447 0.2757 0.3414  5 O 1.83-2.03
Tl1 0.0878 0.2130 0.6110  5 O 2.22-2.35
Tl2 0.1797 0.4030 0.1843  4 O 2.13-2.37
Tl3 0.7010 0.6187 0.9876  4 O 2.52-2.72
Tl4 0.7956 0.7300 0.5286  4 O 2.10-2.26
O1 0.0153 0.5687 0.7169  1 Al 1.79
O2 0.0522 0.9553 0.4417  1 Al 1.86
O3 0.1395 0.7821 0.1605  1 Al 1.88, 1 Mg 1.99
O4 0.2994 0.9499 0.8265  2 Al 1.86-1.87
O5 0.4135 0.4326 0.8534  2 Al 1.81
O6 0.4287 0.7414 0.5404  1 Al 1.78
O7 0.4746 0.5368 0.2789  2 Al 1.83-1.89
O8 0.4757 0.0746 0.2604  2 Al 1.79-1.84
O9 0.4998 0.2178 0.5588  2 Al 1.79-1.92
O10 0.8078 0.0742 0.8083  1 Al 1.77
O11 0.8780 0.2526 0.1367  1 Mg 1.98, 1 Al 2.03, 1 Tl 2.13
O12 0.8927 0.4046 0.4171  1 Al 1.89

(4)
Crystalline MnReI2N at its relaxed geometry, computed with PBE.

Properties
* E_tot: -26.85 eV for the cell shown
* polymorph energy (0 for the lowest one): 2.88 eV per formula unit
* magnetization: 0.732 μB per atom
* symmetry: No. 123
* formation energy without anion corrections: 1.239 eV per atom

a b c (Å): 5.3306 5.3306 3.4601
angles (deg): 90.00 90.00 90.00
Closest atoms and distances in Å follow each position.
Element x y z (fractional)
Mn1 0.0000 0.0000 0.0000  2 N 1.73
Re1 0.5000 0.5000 0.5000  8 I 3.18, 2 Re 3.46
I1 0.0000 0.5000 0.0000  2 Mn 2.67
I2 0.5000 0.0000 0.0000  2 Mn 2.67
N1 0.0000 0.0000 0.5000  2 Mn 1.73

> Which of these has the lowest polymorph energy (0 for the lowest one)?

Cd2IrS2